Record 1
Material: LuCdAg
Method: DFT, PBE
State: optimized geometry

a b c (Å): 4.749 4.749 4.749
angles (deg): 60.00 60.00 60.00
Fractional coordinates of all 3 atoms:
Lu  0.000  0.000  0.000
Ag  0.250  0.250  0.250
Cd  0.500  0.500  0.500

Calculated values
Formation energy from the elements: -0.110 eV per atom
Symmetry: F-43m
Magnetization: 0.03 μB/cell



Record 2
Material: Sc4SiH2
Method: DFT, PBE
State: optimized geometry

a b c (Å): 6.729 6.730 6.739
angles (deg): 106.05 106.05 116.51
Fractional coordinates of all 14 atoms:
Sc  0.916  0.233  0.317
Sc  0.333  0.517  0.183
Sc  0.916  0.599  0.683
Sc  0.767  0.083  0.683
Sc  0.401  0.084  0.317
Sc  0.334  0.151  0.817
Sc  0.483  0.666  0.817
Sc  0.849  0.666  0.183
Si  0.250  0.750  0.500
Si  0.000  0.000  0.000
H  0.625  0.375  0.749
H  0.625  0.875  0.250
H  0.625  0.375  0.250
H  0.125  0.375  0.750

Calculated values
Symmetry: Fddd
Magnetization: 0.00 μB/cell



Record 3
Material: CsSc2Mo
Method: DFT, PBE
State: optimized geometry

a b c (Å): 11.175 11.175 11.175
angles (deg): 17.52 17.52 17.52
Fractional coordinates of all 4 atoms:
Cs  0.000  0.000  0.000
Sc  0.892  0.892  0.892
Sc  0.108  0.108  0.108
Mo  0.500  0.500  0.500

Calculated values
Formation energy from the elements: 0.564 eV per atom
Symmetry: R-3m
Magnetization: 0.00 μB/cell
Excess energy over the best structure of this formula in the dataset: 0 meV per atom



| no. | theoretical density (g/cm3) | D(E_F) (states/eV/f.u.) | uncorrected energy (eV/atom) |
| --- | --- | --- | --- |
| 1 | 8.7 | 2.12 | -2.8720 |
| 2 | 3.0 | 4.79 | -5.7509 |
| 3 | 4.8 | 5.87 | -5.5233 |